Below is crystalline KGdSn at its relaxed geometry, with properties calculated at the PBE level.

## Properties
The size of the total moment comes out at 0.00 μB per cell. Its volume is 102.2 Å³/f.u. The raw total energy comes out at -2.78 eV/atom. The crystal system is cubic.

Cell lengths 7.4209, 7.4209, 7.4209 Å; angles 90.00, 90.00, 90.00 degrees
Last column: nearest neighbours and their distance in Å.
Space group F-43m (No. 216)
Symmetry-distinct sites (fractional):
K 0.0000 0.0000 0.0000 x4  4 Gd 3.21, 4 Sn 3.21
Gd 0.2500 0.2500 0.7500 x4  4 K 3.21
Sn 0.2500 0.2500 0.2500 x4  4 K 3.21

=====

Below is crystalline KGdSnTe3 at its relaxed geometry, with properties calculated at the PBE level.

## Properties
The size of the total moment comes out at 0.02 μB per cell. Its volume is 245.4 Å³/f.u. The raw total energy comes out at -4.07 eV/atom. The crystal system is orthorhombic.

Cell lengths 4.4077, 17.4746, 12.7439 Å; angles 90.00, 90.00, 90.00 degrees
Last column: nearest neighbours and their distance in Å.
Space group Cmcm (No. 63)
Symmetry-distinct sites (fractional):
K 0.0000 0.1936 0.2500 x4  2 Te 3.45
Gd 0.0000 0.5000 0.0000 x4  6 Te 3.09-3.19
Sn 0.0000 0.1109 0.7500 x4  4 Te 2.97-3.15
Te 0.0000 0.1239 0.5033 x8  2 Gd 3.09, 1 Sn 3.15, 1 K 3.45
Te 0.0000 0.4967 0.7500 x4  2 Sn 2.97, 2 Gd 3.19

=====

Below is crystalline KGdTe at its relaxed geometry, with properties calculated at the PBE level.

## Properties
The size of the total moment comes out at 1.59 μB per cell. Its volume is 107.4 Å³/f.u. The raw total energy comes out at -3.31 eV/atom. The crystal system is cubic.

Cell lengths 7.5457, 7.5457, 7.5457 Å; angles 90.00, 90.00, 90.00 degrees
Last column: nearest neighbours and their distance in Å.
Space group F-43m (No. 216)
Symmetry-distinct sites (fractional):
K 0.0000 0.0000 0.0000 x4  4 Te 3.27
Gd 0.0000 0.0000 0.5000 x4  4 Te 3.27
Te 0.2500 0.2500 0.7500 x4  4 Gd 3.27, 4 K 3.27

=====

Below is crystalline KGdZnTe3 at its relaxed geometry, with properties calculated at the PBE level.

## Properties
The size of the total moment comes out at 0.00 μB per cell. Its volume is 212.9 Å³/f.u. The raw total energy comes out at -3.81 eV/atom. The crystal system is monoclinic.

Cell lengths 9.3688, 4.4205, 10.8340 Å; angles 90.00, 108.38, 90.00 degrees
Last column: nearest neighbours and their distance in Å.
Space group P2_1/m (No. 11)
Symmetry-distinct sites (fractional):
K 0.2347 0.2500 0.2702 x2  6 Te 3.50-3.76
Gd 0.3184 0.7500 0.8618 x2  6 Te 3.06-3.25
Zn 0.0811 0.2500 0.6099 x2  4 Te 2.63-2.78
Te 0.0807 0.2500 0.8527 x2  1 Zn 2.63
Te 0.2181 0.7500 0.5464 x2  3 Zn 2.75-2.78
Te 0.4570 0.7500 0.1584 x2  3 Gd 3.06-3.11

=====

Below is crystalline KGdZnTe3 at its relaxed geometry, with properties calculated at the PBE level.

## Properties
The size of the total moment comes out at 0.00 μB per cell. Its volume is 202.2 Å³/f.u. The raw total energy comes out at -3.73 eV/atom. The crystal system is orthorhombic.

Cell lengths 10.7766, 4.4783, 16.7547 Å; angles 90.00, 90.00, 90.00 degrees
Last column: nearest neighbours and their distance in Å.
Space group Pnma (No. 62)
Symmetry-distinct sites (fractional):
K 0.0513 0.2500 0.1871 x4  7 Te 3.57-3.82, 2 Zn 3.91
Gd 0.1808 0.7500 0.4476 x4  6 Te 2.95-3.20
Zn 0.1628 0.2500 0.6356 x4  4 Te 2.58-2.80
Te 0.0149 0.7500 0.6041 x4  2 Zn 2.80
Te 0.1627 0.7500 0.0253 x4  1 Zn 2.64
Te 0.2068 0.2500 0.7872 x4  1 Zn 2.58

=====

Below is crystalline KGdZnTe3 at its relaxed geometry, with properties calculated at the PBE level.

## Properties
The size of the total moment comes out at 0.01 μB per cell. Its volume is 205.1 Å³/f.u. The raw total energy comes out at -3.82 eV/atom. The crystal system is orthorhombic.

Cell lengths 4.3990, 15.8701, 11.7505 Å; angles 90.00, 90.00, 90.00 degrees
Last column: nearest neighbours and their distance in Å.
Space group Cmcm (No. 63)
Symmetry-distinct sites (fractional):
K 0.0000 0.2488 0.2500 x4  6 Te 3.63, 2 Zn 4.03
Gd 0.0000 0.0000 0.0000 x4  6 Te 3.12-3.14
Zn 0.0000 0.4638 0.7500 x4  4 Te 2.66-2.77
Te 0.0000 0.0695 0.7500 x4  2 Zn 2.77
Te 0.0000 0.3690 0.5629 x8  1 Zn 2.66

=====

Below is crystalline KGdZnTe3 at its relaxed geometry, with properties calculated at the PBE level.

## Properties
The size of the total moment comes out at 0.00 μB per cell. Its volume is 204.2 Å³/f.u. The raw total energy comes out at -3.66 eV/atom. The crystal system is monoclinic.

Cell lengths 20.0351, 4.5053, 9.2664 Å; angles 90.00, 102.38, 90.00 degrees
Last column: nearest neighbours and their distance in Å.
Space group C2/m (No. 12)
Symmetry-distinct sites (fractional):
K 0.1357 0.0000 0.0669 x4  6 Te 3.42-3.49
Gd 0.1715 0.0000 0.5738 x4  6 Te 3.06-3.36
Zn 0.0330 0.5000 0.7285 x4  2 Te 2.65-2.73
Te 0.0000 0.0000 0.5000 x2  4 Zn 3.07, 2 Gd 3.36
Te 0.0000 0.5000 0.0000 x2  2 Zn 2.73
Te 0.1684 0.5000 0.8026 x4  1 Zn 2.65
Te 0.1719 0.5000 0.3508 x4  3 Gd 3.06, 2 K 3.42

=====

Below is crystalline KGdZnTe3 at its relaxed geometry, with properties calculated at the PBE level.

## Properties
The size of the total moment comes out at 0.01 μB per cell. Its volume is 204.8 Å³/f.u. The raw total energy comes out at -3.82 eV/atom. The crystal system is orthorhombic.

Cell lengths 11.7637, 4.3958, 15.8401 Å; angles 90.00, 90.00, 90.00 degrees
Last column: nearest neighbours and their distance in Å.
Space group Pnma (No. 62)
Symmetry-distinct sites (fractional):
K 0.2265 0.2500 0.0023 x4  7 Te 3.61-3.78, 2 Zn 4.03
Gd 0.0174 0.7500 0.7453 x4  6 Te 3.10-3.15
Zn 0.2359 0.7500 0.2154 x4  4 Te 2.66-2.76
Te 0.0462 0.7500 0.1236 x4  1 Zn 2.66
Te 0.0820 0.2500 0.6155 x4  1 Zn 2.66
Te 0.2349 0.2500 0.3209 x4  2 Zn 2.76

=====

Below is crystalline KGdZnTe3 at its relaxed geometry, with properties calculated at the PBE level.

## Properties
The size of the total moment comes out at 0.01 μB per cell. Its volume is 192.9 Å³/f.u. The raw total energy comes out at -3.76 eV/atom. The crystal system is orthorhombic.

Cell lengths 12.5195, 4.5202, 13.6378 Å; angles 90.00, 90.00, 90.00 degrees
Last column: nearest neighbours and their distance in Å.
Space group Pnma (No. 62)
Symmetry-distinct sites (fractional):
K 0.1811 0.2500 0.0071 x4  7 Te 3.53-3.65, 2 Zn 3.62
Gd 0.0278 0.2500 0.3204 x4  6 Te 3.14-3.46
Zn 0.2480 0.7500 0.2048 x4  4 Te 2.64-2.72
Te 0.0427 0.7500 0.1614 x4  1 Zn 2.64
Te 0.0990 0.2500 0.5659 x4  1 Zn 2.69
Te 0.2190 0.7500 0.8111 x4  2 Zn 2.72

=====

Below is crystalline KGdZnTe3 at its relaxed geometry, with properties calculated at the PBE level.

## Properties
The size of the total moment comes out at 0.01 μB per cell. Its volume is 210.7 Å³/f.u. The raw total energy comes out at -3.81 eV/atom. The crystal system is orthorhombic.

Cell lengths 16.1066, 4.4167, 11.8479 Å; angles 90.00, 90.00, 90.00 degrees
Last column: nearest neighbours and their distance in Å.
Space group Pnma (No. 62)
Symmetry-distinct sites (fractional):
K 0.2338 0.2500 0.0373 x4  6 Te 3.49-3.72
Gd 0.0222 0.2500 0.3457 x4  6 Te 3.06-3.24
Zn 0.0158 0.7500 0.0992 x4  4 Te 2.65-2.77
Te 0.0853 0.7500 0.8856 x4  3 Zn 2.75-2.77
Te 0.1012 0.2500 0.5802 x4  3 Gd 3.06-3.10
Te 0.1390 0.7500 0.2474 x4  1 Zn 2.65

=====

Below is crystalline KGdTh at its relaxed geometry, with properties calculated at the PBE level.

## Properties
The size of the total moment comes out at 1.19 μB per cell. Its volume is 132.4 Å³/f.u. The raw total energy comes out at -3.02 eV/atom. The crystal system is cubic.

Cell lengths 8.0915, 8.0915, 8.0915 Å; angles 90.00, 90.00, 90.00 degrees
Last column: nearest neighbours and their distance in Å.
Space group F-43m (No. 216)
Symmetry-distinct sites (fractional):
K 0.0000 0.0000 0.0000 x4  4 Gd 3.50
Gd 0.2500 0.2500 0.2500 x4  4 Th 3.50, 4 K 3.50
Th 0.0000 0.0000 0.5000 x4  4 Gd 3.50

=====

Below is crystalline KGdTl at its relaxed geometry, with properties calculated at the PBE level.

## Properties
The size of the total moment comes out at 0.05 μB per cell. Its volume is 117.5 Å³/f.u. The raw total energy comes out at -2.41 eV/atom. The crystal system is cubic.

Cell lengths 7.7759, 7.7759, 7.7759 Å; angles 90.00, 90.00, 90.00 degrees
Last column: nearest neighbours and their distance in Å.
Space group F-43m (No. 216)
Symmetry-distinct sites (fractional):
K 0.0000 0.0000 0.0000 x4  4 Tl 3.37
Gd 0.0000 0.0000 0.5000 x4  4 Tl 3.37
Tl 0.2500 0.2500 0.7500 x4  4 Gd 3.37, 4 K 3.37